Density functional theory data (GGA+U) for a geometry-optimized Li4MnCo2O7 structure.

Cell lengths 5.112, 5.879, 8.621 Å; angles 91.83, 94.62, 108.66 degrees
Element x y z (fractional)
Li 0.000 0.000 0.000
Li 0.011 0.500 0.000
Li 0.146 0.794 0.280
Li 0.281 0.069 0.579
Li 0.425 0.352 0.863
Li 0.574 0.660 0.133
Li 0.716 0.927 0.431
Li 0.851 0.214 0.723
Mn 0.141 0.286 0.283
Mn 0.715 0.434 0.432
Co 0.285 0.575 0.576
Co 0.429 0.861 0.861
Co 0.570 0.144 0.141
Co 0.857 0.719 0.720
O 0.027 0.266 0.498
O 0.152 0.003 0.790
O 0.163 0.552 0.783
O 0.301 0.315 0.091
O 0.312 0.840 0.063
O 0.399 0.600 0.366
O 0.421 0.134 0.347
O 0.548 0.880 0.652
O 0.593 0.411 0.640
O 0.684 0.161 0.935
O 0.692 0.696 0.911
O 0.851 0.995 0.217
O 0.864 0.444 0.222
O 0.978 0.740 0.509

Computed properties:
Excess energy over the best structure of this formula in the dataset ... 59 meV/atom


Density functional theory data (GGA+U) for a geometry-optimized Li3Mn3CoO8 structure.

Cell lengths 5.884, 5.884, 5.884 Å; angles 58.27, 58.27, 58.27 degrees
Element x y z (fractional)
Li 0.000 0.500 0.500
Li 0.500 0.000 0.500
Li 0.500 0.500 0.000
Mn 0.000 0.000 0.500
Mn 0.000 0.500 0.000
Mn 0.500 0.000 0.000
Co 0.500 0.500 0.500
O 0.241 0.241 0.241
O 0.244 0.735 0.735
O 0.265 0.265 0.756
O 0.265 0.756 0.265
O 0.735 0.244 0.735
O 0.735 0.735 0.244
O 0.756 0.265 0.265
O 0.759 0.759 0.759

Computed properties:
Excess energy over the best structure of this formula in the dataset ... 145 meV/atom
Fermi-level density of states ... 1.72 states/eV/cell


Density functional theory data (GGA+U) for a geometry-optimized Li4MnCo2O7 structure.

Cell lengths 5.911, 6.509, 7.718 Å; angles 103.73, 111.62, 103.98 degrees
Element x y z (fractional)
Li 0.000 0.000 0.000
Li 0.074 0.588 0.858
Li 0.218 0.714 0.573
Li 0.347 0.860 0.278
Li 0.497 0.009 0.003
Li 0.660 0.145 0.728
Li 0.782 0.289 0.431
Li 0.922 0.424 0.135
Mn 0.280 0.285 0.424
Mn 0.854 0.860 0.283
Co 0.144 0.134 0.724
Co 0.402 0.419 0.132
Co 0.579 0.581 0.861
Co 0.711 0.716 0.570
O 0.057 0.304 0.931
O 0.113 0.870 0.780
O 0.189 0.408 0.636
O 0.224 0.005 0.484
O 0.310 0.548 0.355
O 0.388 0.166 0.229
O 0.494 0.729 0.084
O 0.532 0.301 0.928
O 0.612 0.834 0.770
O 0.651 0.434 0.627
O 0.759 0.983 0.498
O 0.795 0.593 0.357
O 0.911 0.140 0.233
O 0.944 0.722 0.085

Computed properties:
Excess energy over the best structure of this formula in the dataset ... 43 meV/atom